Material: YTe2Cl
Method: DFT, PBE
State: optimized geometry

abc: 12.162 4.052 5.878
angles: 90.00 105.41 90.00
Fractional coordinates of all 8 atoms:
Y 0.000 0.000 0.000
Y 0.500 0.500 0.000
Te 0.158 0.500 0.338
Te 0.497 0.000 0.599
Te 0.658 0.000 0.338
Te 0.997 0.500 0.599
Cl 0.343 0.000 0.966
Cl 0.843 0.500 0.966

Calculated values
SG: Cm, No. 8
Electronic total energy: -38.46 eV for the cell shown
Formation energy without anion corrections: -1159 meV/atom
Polymorph energy (0 for the lowest one): 26 meV per atom
Spin magnetization: 0.000 μB/f.u.